Run a
The following is a GGA-PBE calculation of a geometry-optimized Sr2OsAu structure, from the Alexandria database.

a b c (Å): 6.560 6.560 6.560
angles (deg): 149.13 133.51 56.85
Fractional coordinates of all 4 atoms:
1 Au 0.457 0.457 0.000
2 Sr 0.733 0.233 0.500
3 Sr 0.031 0.031 0.000
4 Os 0.279 0.779 0.500

Output
For the theoretical density, the calculation gives 9.0 g cm⁻³. As for the crystal system: orthorhombic.

=====

Run b
The following is a GGA-PBE calculation of a geometry-optimized Sr2OsAu structure, from the Alexandria database.

a b c (Å): 5.874 5.874 5.874
angles (deg): 135.02 135.02 65.49
Site moments in Bohr magnetons follow the coordinates.
Fractional coordinates of all 4 atoms:
1 Sr 0.000 0.000 0.000  -0.01
2 Sr 0.250 0.750 0.500  -0.02
3 Au 0.500 0.500 0.000  0.01
4 Os 0.750 0.250 0.500  0.72

Output
For the theoretical density, the calculation gives 9.4 g cm⁻³. As for the crystal system: tetragonal.

=====

Run c
The following is a GGA-PBE calculation of a geometry-optimized Sr2OsAu structure, from the Alexandria database.

a b c (Å): 4.358 4.358 6.241
angles (deg): 90.00 90.00 90.00
Site moments in Bohr magnetons follow the coordinates.
Fractional coordinates of all 4 atoms:
1 Au 0.000 0.000 0.426  -0.01
2 Sr 0.500 0.500 0.336  -0.02
3 Os 0.500 0.500 0.828  1.24
4 Sr 0.000 0.000 0.910  -0.02

Output
For the theoretical density, the calculation gives 7.9 g cm⁻³. As for the crystal system: tetragonal.

=====

Run d
The following is a GGA-PBE calculation of a geometry-optimized Sr2OsAu structure, from the Alexandria database.

a b c (Å): 6.271 6.271 9.077
angles (deg): 69.79 69.79 90.00
Site moments in Bohr magnetons follow the coordinates.
Fractional coordinates of all 8 atoms:
1 Sr 0.875 0.841 0.750  -0.01
2 Au 0.000 0.000 0.000  -0.01
3 Os 0.500 0.500 0.000  1.10
4 Au 0.750 0.250 0.500  -0.01
5 Sr 0.159 0.625 0.250  -0.01
6 Sr 0.375 0.409 0.750  -0.01
7 Os 0.250 0.750 0.500  1.10
8 Sr 0.591 0.125 0.250  -0.01

Output
For the theoretical density, the calculation gives 6.0 g cm⁻³. As for the crystal system: tetragonal.

=====

The computed energies, referenced to the most stable structure and given in eV/atom, are run a 0.000; run b 0.155; run c 0.246; run d 0.634.

=====

Run a
The following is a GGA-PBE calculation of a geometry-optimized SrOs2Au structure, from the Alexandria database.

a b c (Å): 5.391 5.391 5.391
angles (deg): 137.86 122.53 73.79
Fractional coordinates of all 4 atoms:
1 Os 0.811 0.311 0.500
2 Sr 0.506 0.506 0.000
3 Au 0.213 0.713 0.500
4 Os 0.970 0.970 0.000

Output
For the theoretical density, the calculation gives 12.7 g cm⁻³. As for the crystal system: orthorhombic.

=====

Run b
The following is a GGA-PBE calculation of a geometry-optimized SrOs2Au structure, from the Alexandria database.

a b c (Å): 2.945 4.878 5.148
angles (deg): 90.00 90.00 90.00
Fractional coordinates of all 4 atoms:
1 Os 0.500 0.500 0.000
2 Au 0.000 0.500 0.500
3 Os 0.000 0.000 0.000
4 Sr 0.500 0.000 0.500

Output
For the theoretical density, the calculation gives 14.9 g cm⁻³. As for the crystal system: orthorhombic.

=====

The computed energies, referenced to the most stable structure and given in eV/atom, are run a 0.000; run b 0.105.

=====

Run a
The following is a GGA-PBE calculation of a geometry-optimized SrOs2Au structure, from the Alexandria database.

a b c (Å): 2.859 2.859 9.041
angles (deg): 90.00 90.00 90.00
Site moments in Bohr magnetons follow the coordinates.
Fractional coordinates of all 4 atoms:
1 Os 0.000 0.000 0.969  0.23
2 Os 0.000 0.000 0.531  0.23
3 Au 0.500 0.500 0.750  0.01
4 Sr 0.500 0.500 0.250  0.00

Output
For the theoretical density, the calculation gives 14.9 g cm⁻³. As for the crystal system: tetragonal.

=====

Run b
The following is a GGA-PBE calculation of a geometry-optimized SrOs2Au structure, from the Alexandria database.

a b c (Å): 4.849 4.688 4.241
angles (deg): 81.02 90.00 90.00
Fractional coordinates of all 4 atoms:
1 Sr 0.500 0.250 0.250
2 Os 0.000 0.867 0.986
3 Au 0.500 0.750 0.750
4 Os 0.000 0.633 0.514

Output
For the theoretical density, the calculation gives 11.6 g cm⁻³. As for the crystal system: monoclinic.

=====

The computed energies, referenced to the most stable structure and given in eV/atom, are run a 0.414; run b 0.000.

=====

Run a
The following is a GGA-PBE calculation of a geometry-optimized SrOs2Au structure, from the Alexandria database.

a b c (Å): 4.707 3.998 3.998
angles (deg): 90.00 90.00 90.00
Fractional coordinates of all 4 atoms:
1 Os 0.000 0.000 0.000
2 Au 0.500 0.000 0.500
3 Os 0.000 0.500 0.500
4 Sr 0.500 0.500 0.000

Output
For the theoretical density, the calculation gives 14.7 g cm⁻³. As for the crystal system: tetragonal.

=====

Run b
The following is a GGA-PBE calculation of a geometry-optimized SrOs2Au structure, from the Alexandria database.

a b c (Å): 6.195 6.195 5.568
angles (deg): 60.86 60.86 27.29
Fractional coordinates of all 4 atoms:
1 Os 0.532 0.532 0.385
2 Sr 0.750 0.750 0.750
3 Os 0.968 0.968 0.115
4 Au 0.250 0.250 0.250

Output
For the theoretical density, the calculation gives 13.0 g cm⁻³. As for the crystal system: monoclinic.

=====

The computed energies, referenced to the most stable structure and given in eV/atom, are run a 0.225; run b 0.000.

=====

Run a
The following is a GGA-PBE calculation of a geometry-optimized SrOs2Au structure, from the Alexandria database.

a b c (Å): 4.335 4.335 10.413
angles (deg): 77.98 77.98 90.00
Fractional coordinates of all 8 atoms:
1 Sr 0.500 0.500 0.000
2 Os 0.994 0.625 0.250
3 Os 0.756 0.125 0.250
4 Os 0.875 0.006 0.750
5 Sr 0.250 0.750 0.500
6 Os 0.375 0.244 0.750
7 Au 0.000 0.000 0.000
8 Au 0.750 0.250 0.500

Output
For the theoretical density, the calculation gives 11.8 g cm⁻³. As for the crystal system: tetragonal.

=====

Run b
The following is a GGA-PBE calculation of a geometry-optimized SrOs2Au structure, from the Alexandria database.

a b c (Å): 4.901 4.901 4.901
angles (deg): 125.92 125.92 80.02
Fractional coordinates of all 4 atoms:
1 Os 0.250 0.750 0.500
2 Au 0.750 0.250 0.500
3 Os 0.000 0.000 0.000
4 Sr 0.500 0.500 0.000

Output
For the theoretical density, the calculation gives 14.8 g cm⁻³. As for the crystal system: tetragonal.

=====

Run c
The following is a GGA-PBE calculation of a geometry-optimized SrOs2Au structure, from the Alexandria database.

a b c (Å): 5.720 5.720 5.720
angles (deg): 139.66 139.66 58.37
Fractional coordinates of all 4 atoms:
1 Sr 0.250 0.750 0.500
2 Os 0.500 0.500 0.000
3 Os 0.000 0.000 0.000
4 Au 0.750 0.250 0.500

Output
For the theoretical density, the calculation gives 14.2 g cm⁻³. As for the crystal system: tetragonal.

=====

The computed energies, referenced to the most stable structure and given in eV/atom, are run a 0.000; run b 0.242; run c 0.312.

=====

Run a
The following is a GGA-PBE calculation of a geometry-optimized SrOs2Au structure, from the Alexandria database.

a b c (Å): 4.740 4.740 4.740
angles (deg): 60.00 60.00 60.00
Site moments in Bohr magnetons follow the coordinates.
Fractional coordinates of all 4 atoms:
1 Au 0.500 0.500 0.500  0.14
2 Os 0.250 0.250 0.250  0.99
3 Os 0.750 0.750 0.750  0.99
4 Sr 0.000 0.000 0.000  0.03

Output
For the theoretical density, the calculation gives 14.7 g cm⁻³. As for the crystal system: cubic.

=====

Run b
The following is a GGA-PBE calculation of a geometry-optimized SrOs2Au structure, from the Alexandria database.

a b c (Å): 3.763 2.872 7.949
angles (deg): 68.87 90.00 90.00
Fractional coordinates of all 4 atoms:
1 Sr 0.000 0.506 0.495
2 Os 0.000 0.960 0.040
3 Os 0.500 0.325 0.175
4 Au 0.500 0.709 0.790

Output
For the theoretical density, the calculation gives 13.8 g cm⁻³. As for the crystal system: orthorhombic.

=====

Run c
The following is a GGA-PBE calculation of a geometry-optimized SrOs2Au structure, from the Alexandria database.

a b c (Å): 10.322 10.322 10.322
angles (deg): 15.87 15.87 15.87
Fractional coordinates of all 4 atoms:
1 Sr 0.250 0.250 0.250
2 Os 0.007 0.007 0.007
3 Au 0.750 0.750 0.750
4 Os 0.493 0.493 0.493

Output
For the theoretical density, the calculation gives 15.4 g cm⁻³. As for the crystal system: trigonal.

=====

The computed energies, referenced to the most stable structure and given in eV/atom, are run a 1.046; run b 0.000; run c 0.730.

=====

Run a
The following is a GGA-PBE calculation of a geometry-optimized SrOs2Au structure, from the Alexandria database.

a b c (Å): 2.716 4.541 6.430
angles (deg): 90.00 90.00 90.00
Fractional coordinates of all 4 atoms:
1 Au 0.500 0.500 0.750
2 Os 0.000 0.000 0.562
3 Sr 0.500 0.500 0.250
4 Os 0.000 0.000 0.938

Output
For the theoretical density, the calculation gives 13.9 g cm⁻³. As for the crystal system: orthorhombic.

=====

Run b
The following is a GGA-PBE calculation of a geometry-optimized SrOs2Au structure, from the Alexandria database.

a b c (Å): 4.370 4.370 7.162
angles (deg): 83.13 83.13 38.26
Fractional coordinates of all 4 atoms:
1 Au 0.264 0.264 0.208
2 Sr 0.498 0.498 0.512
3 Os 0.996 0.996 0.953
4 Os 0.742 0.742 0.827

Output
For the theoretical density, the calculation gives 13.1 g cm⁻³. As for the crystal system: monoclinic.

=====

The computed energies, referenced to the most stable structure and given in eV/atom, are run a 0.372; run b 0.000.

=====

Run a
The following is a GGA-PBE calculation of a geometry-optimized TaOs2Au structure, from the Alexandria database.

a b c (Å): 3.954 2.850 6.358
angles (deg): 63.35 90.00 90.00
Fractional coordinates of all 4 atoms:
1 Os 0.000 0.972 0.029
2 Os 0.500 0.267 0.233
3 Au 0.500 0.748 0.752
4 Ta 0.000 0.514 0.486

Output
For the theoretical density, the calculation gives 19.7 g cm⁻³. As for the crystal system: orthorhombic.

=====

Run b
The following is a GGA-PBE calculation of a geometry-optimized TaOs2Au structure, from the Alexandria database.

a b c (Å): 9.513 9.513 9.513
angles (deg): 17.02 17.02 17.02
Fractional coordinates of all 4 atoms:
1 Os 0.995 0.995 0.995
2 Ta 0.502 0.502 0.502
3 Os 0.254 0.254 0.254
4 Au 0.748 0.748 0.748

Output
For the theoretical density, the calculation gives 19.6 g cm⁻³. As for the crystal system: trigonal.

=====

Run c
The following is a GGA-PBE calculation of a geometry-optimized TaOs2Au structure, from the Alexandria database.

a b c (Å): 2.835 2.835 8.054
angles (deg): 90.00 90.00 90.00
Fractional coordinates of all 4 atoms:
1 Au 0.500 0.500 0.750
2 Ta 0.500 0.500 0.250
3 Os 0.000 0.000 0.009
4 Os 0.000 0.000 0.491

Output
For the theoretical density, the calculation gives 19.5 g cm⁻³. As for the crystal system: tetragonal.

=====

Run d
The following is a GGA-PBE calculation of a geometry-optimized TaOs2Au structure, from the Alexandria database.

a b c (Å): 4.938 4.938 4.938
angles (deg): 133.06 133.05 68.55
Fractional coordinates of all 4 atoms:
1 Au 0.250 0.750 0.500
2 Os 0.750 0.250 0.500
3 Os 0.001 0.999 0.000
4 Ta 0.500 0.500 0.000

Output
For the theoretical density, the calculation gives 19.9 g cm⁻³. As for the crystal system: tetragonal.

=====

The computed energies, referenced to the most stable structure and given in eV/atom, are run a 0.000; run b 0.150; run c 0.240; run d 0.036.